No. 1
VASP calculation (PBE) on a relaxed Rb2YNbBr6 crystal.

```
Rb2YNbBr6
1.0
-4.829 0.327 6.128
3.777 -5.987 3.296
2.896 0.710 7.220
Rb Br Nb Y
2 6 1 1
Direct
0.750 0.250 0.500
0.250 0.750 0.500
0.755 0.245 0.000
0.755 0.755 0.491
0.755 0.755 0.000
0.245 0.245 0.509
0.245 0.245 0.000
0.245 0.755 0.000
0.000 0.000 0.000
0.500 0.500 0.000
```

Crystal system: cubic
DFT total energy: -41.04 eV per cell
N(E_F): 0.3156 states/eV per atom
Raw formation energy: -1.254 eV/atom

***

No. 2
VASP calculation (PBE) on a relaxed Rb2NbZnBr6 crystal.

```
Rb2NbZnBr6
1.0
7.708 0.000 0.000
0.000 7.708 0.000
3.854 3.854 5.459
Nb Br Zn Rb
1 6 1 2
Direct
0.000 0.000 0.000
0.247 0.753 0.000
0.753 0.753 0.493
0.753 0.753 0.000
0.247 0.247 0.000
0.247 0.247 0.507
0.753 0.247 0.000
0.500 0.500 0.000
0.750 0.250 0.500
0.250 0.750 0.500
```

Crystal system: tetragonal
DFT total energy: -33.50 eV per cell
N(E_F): 0.8112 states/eV per atom
Raw formation energy: -1.019 eV/atom

***

No. 3
VASP calculation (PBE) on a relaxed Nb3ReBr crystal.

```
Nb3ReBr
1.0
-3.507 3.022 -0.490
0.414 -0.270 -4.629
-3.033 -3.531 -0.066
Re Br Nb
1 1 3
Direct
0.500 0.500 0.500
0.000 0.000 0.000
0.000 0.500 0.000
0.500 0.000 0.000
0.000 0.000 0.500
```

Polymorph energy (0 for the lowest one): 0.272 eV per atom
Crystal system: cubic
DFT total energy: -36.69 eV per cell
N(E_F): 2.0467 states/eV per atom
Raw formation energy: 1.529 eV/atom

***

No. 4
VASP calculation (PBE) on a relaxed Nb3ReBr crystal.

```
Nb3ReBr
1.0
4.934 0.000 0.000
0.000 4.934 0.000
0.000 0.000 4.934
Br Re Nb
1 1 3
Direct
0.500 0.500 0.500
0.000 0.000 0.000
0.000 0.500 0.000
0.000 0.000 0.500
0.500 0.000 0.000
```

Polymorph energy (0 for the lowest one): 0.000 eV per atom
Crystal system: cubic
DFT total energy: -38.05 eV per cell
N(E_F): 1.5300 states/eV per atom
Raw formation energy: 1.257 eV/atom